[1]
# La5Sm6Er2

A relaxed La5Sm6Er2 crystal (PBE, the Alexandria database).

Lattice parameters (Å, degrees): 3.663 11.811 21.006 90.00 90.00 90.00
Fractional coordinates of all 26 atoms:
Sm 0.000 0.417 0.869
Sm 0.500 0.826 0.359
Sm 0.500 0.326 0.141
Sm 0.000 0.437 0.582
Sm 0.000 0.063 0.082
Sm 0.000 0.917 0.631
Sm 0.000 0.583 0.131
Sm 0.000 0.563 0.418
Sm 0.000 0.083 0.369
Sm 0.500 0.674 0.859
Sm 0.500 0.174 0.641
Sm 0.000 0.937 0.918
La 0.500 0.198 0.949
La 0.500 0.000 0.500
La 0.500 0.916 0.772
La 0.500 0.802 0.051
La 0.500 0.584 0.272
La 0.500 0.302 0.449
La 0.500 0.500 0.000
La 0.500 0.698 0.551
La 0.500 0.416 0.728
La 0.500 0.084 0.228
Er 0.000 0.329 0.290
Er 0.000 0.671 0.710
Er 0.000 0.829 0.210
Er 0.000 0.171 0.790

crystal system	orthorhombic
raw total energy	-4.6878	eV per atom


[2]
# La7Sm2Er

A relaxed La7Sm2Er crystal (PBE, the Alexandria database).

Lattice parameters (Å, degrees): 3.569 10.501 10.501 109.07 90.00 90.00
Fractional coordinates of all 10 atoms:
Sm 0.500 0.834 0.166
Sm 0.500 0.166 0.834
La 0.000 0.319 0.681
La 0.500 0.874 0.618
La 0.500 0.382 0.126
La 0.000 0.681 0.319
La 0.500 0.126 0.382
La 0.500 0.618 0.874
La 0.500 0.500 0.500
Er 0.000 0.000 0.000

relative energy among the computed polymorphs	0.00	eV per formula unit
crystal system	orthorhombic


[3]
# La3SmEr8

A relaxed La3SmEr8 crystal (PBE, the Alexandria database).

Lattice parameters (Å, degrees): 8.718 8.718 8.718 97.91 97.64 136.84
Fractional coordinates of all 12 atoms:
Sm 0.000 0.000 0.000
Er 0.498 0.251 0.247
Er 0.174 0.751 0.924
Er 0.827 0.250 0.076
Er 0.995 0.749 0.247
Er 0.173 0.249 0.423
Er 0.502 0.749 0.753
Er 0.826 0.750 0.577
Er 0.005 0.251 0.753
La 0.000 0.500 0.500
La 0.500 0.748 0.248
La 0.500 0.252 0.752

crystal system	orthorhombic
raw total energy	-4.3970	eV per atom


[4]
# LaSm6Er4

A relaxed LaSm6Er4 crystal (PBE, the Alexandria database).

Lattice parameters (Å, degrees): 7.621 7.621 8.596 116.31 116.31 90.00
Fractional coordinates of all 11 atoms:
Sm 0.924 0.452 0.376
Sm 0.000 0.500 0.000
Sm 0.076 0.076 0.624
Sm 0.452 0.924 0.376
Sm 0.548 0.548 0.624
Sm 0.500 0.000 0.000
La 0.500 0.500 0.000
Er 0.240 0.240 0.158
Er 0.082 0.760 0.842
Er 0.760 0.082 0.842
Er 0.918 0.918 0.158

crystal system	tetragonal
raw total energy	-4.3036	eV per atom


Number 1: mass density 7.06 g cm⁻³. Number 2: mass density 6.43 g cm⁻³. Number 3: mass density 7.50 g cm⁻³. Number 4: mass density 7.30 g cm⁻³.